Entry 1:
Li2PrZn2: optimized geometry, PBE.

Results
ΔH_f (0 K) = -176 meV per atom

a = 3.5929 Å, b = 4.5953 Å, c = 25.7002 Å
α = 90.00°, β = 90.00°, γ = 90.00°
Closest atoms and distances in Å follow each position.
Space group Imma (No. 74)
Asymmetric unit:
Li1 0.0000 0.2500 0.1982  2 Zn 2.90, 6 Li 2.92-3.21
Li2 0.0000 0.2500 0.7053  2 Zn 2.65, 6 Li 2.92
Pr1 0.0000 0.2500 0.4225  10 Zn 3.19-3.21
Zn1 0.0000 0.2500 0.8707  4 Li 2.65-2.90, 1 Zn 2.68
Zn2 0.0000 0.2500 0.9750  3 Zn 2.63-2.68

***

Entry 2:
CrCo2Se: optimized geometry, PBE.

Results
Total energy = -6.61 eV/atom

a = 2.9262 Å, b = 3.3082 Å, c = 5.1222 Å
α = 90.00°, β = 90.00°, γ = 90.00°
Closest atoms and distances in Å follow each position.
Space group Pmmm (No. 47)
Asymmetric unit:
Cr1 0.0000 0.0000 0.0000  8 Co 2.51, 2 Se 2.56
Co1 0.5000 0.5000 0.2344  1 Co 2.40, 4 Cr 2.51, 4 Se 2.59
Se1 0.0000 0.0000 0.5000  2 Cr 2.56, 8 Co 2.59

***

Entry 3:
PrSm2Pb: optimized geometry, PBE.

Results
ΔH_f (0 K) = -228 meV per atom

a = 4.2635 Å, b = 4.2635 Å, c = 6.9963 Å
α = 90.00°, β = 90.00°, γ = 90.00°
Closest atoms and distances in Å follow each position.
Space group P4/mmm (No. 123)
Asymmetric unit:
Pr1 0.0000 0.0000 0.0000  2 Pb 3.50, 8 Sm 3.57
Sm1 0.5000 0.5000 0.2741  1 Sm 3.16, 4 Pb 3.40
Pb1 0.0000 0.0000 0.5000  8 Sm 3.40, 2 Pr 3.50

***

Entry 4:
GeSI2: optimized geometry, PBE.

Results
Total energy = -2.48 eV/atom

a = 7.8786 Å, b = 7.8786 Å, c = 8.0442 Å
α = 90.00°, β = 90.00°, γ = 90.00°
Closest atoms and distances in Å follow each position.
Space group I-42d (No. 122)
Asymmetric unit:
Ge1 0.0000 0.0000 0.0000  4 I 2.89
S1 0.0000 0.0000 0.5000  4 I 3.04
I1 0.2353 0.2500 0.1250  2 Ge 2.89, 2 S 3.04

***

Entry 5:
SmTmPtRh: optimized geometry, PBE.

Results
ΔH_f (0 K) = -1031 meV per atom

a = 4.3651 Å, b = 3.8017 Å, c = 10.5987 Å
α = 90.00°, β = 90.00°, γ = 90.00°
Closest atoms and distances in Å follow each position.
Space group Amm2 (No. 38)
Asymmetric unit:
Sm1 0.0000 0.0000 0.0000  3 Rh 2.80-3.14, 4 Pt 2.97
Tm1 0.5000 0.0000 0.7176  4 Rh 2.94, 3 Pt 2.96-3.02
Pt1 0.5000 0.0000 0.4386  2 Rh 2.86, 3 Tm 2.96-3.02, 4 Sm 2.97
Rh1 0.0000 0.0000 0.2646  3 Sm 2.80-3.14, 2 Pt 2.86, 4 Tm 2.94

***

Entry 6:
Tl3TcIr: optimized geometry, PBE.

Results
ΔH_f (0 K) = 1074 meV per atom

a = 5.2537 Å, b = 5.2537 Å, c = 5.2537 Å
α = 90.00°, β = 90.00°, γ = 90.00°
Closest atoms and distances in Å follow each position.
Space group Pm-3m (No. 221)
Asymmetric unit:
Tl1 0.0000 0.0000 0.5000  2 Ir 2.63
Tc1 0.5000 0.5000 0.5000  12 Tl 3.71
Ir1 0.0000 0.0000 0.0000  6 Tl 2.63

***

Number 1: N(E_F) 0.816 states/eV/atom. Number 2: N(E_F) 1.162 states/eV/atom. Number 3: N(E_F) 1.408 states/eV/atom. Number 4: N(E_F) 0.388 states/eV/atom. Number 5: N(E_F) 0.537 states/eV/atom. Number 6: N(E_F) 1.321 states/eV/atom.